# Er2S2O, optimized geometry, DFT PBE
# ΔE to the lowest computed polymorph (meV/atom): 0
# Uncorrected formation energy (meV/atom): -2638.9
# Magnetic moment (Bohr magnetons per cell): 0.0
data_Er2S2O
_chemical_formula_sum 'Er8 S8 O4'
_cell_length_a 8.224
_cell_length_b 6.845
_cell_length_c 6.820
_cell_angle_alpha 90.00
_cell_angle_beta 99.39
_cell_angle_gamma 90.00
_space_group_name_H-M_alt 'P 1 21/c 1'
_space_group_IT_number 14
loop_
_space_group_symop_operation_xyz
'x,y,z'
'-x,-y,-z'
'-x,y+1/2,-z+1/2'
'x,-y+1/2,z+1/2'
loop_
_atom_site_label
_atom_site_type_symbol
_atom_site_fract_x
_atom_site_fract_y
_atom_site_fract_z
_atom_site_occupancy
Er1 Er 0.075 0.145 0.323 1
Er2 Er 0.361 0.554 0.250 1
S1 S 0.181 0.633 0.579 1
S2 S 0.425 0.223 0.470 1
O1 O 0.117 0.087 0.650 1